No. 1
DFT (GGA-PBE) results for a relaxed structure of Pa2Si4GePt3.

Results
raw formation energy = -0.73 eV per atom
DOS at the Fermi energy = 10.22 states/eV per cell
magnetic moment = 1.37 μB/cell
calculated volume = 17.77 Å³/atom

a = 4.3175 Å, b = 4.3175 Å, c = 9.5322 Å
α = 90.00°, β = 90.00°, γ = 90.00°
Closest atoms and distances in Å follow each position.
Positions (direct):
Si (0.5000, 0.0000, 0.6358)  3 Pt 2.36-2.52, 2 Ge 2.52
Si (0.0000, 0.5000, 0.3642)  3 Pt 2.36-2.52, 2 Ge 2.52
Si (0.5000, 0.5000, 0.0000)  4 Pt 2.43
Si (0.0000, 0.0000, 0.0000)  4 Pt 2.43
Pa (0.0000, 0.5000, 0.7488)  2 Ge 3.21, 7 Pt 3.21-3.51, 8 Si 3.22-3.24
Pa (0.5000, 0.0000, 0.2512)  2 Ge 3.21, 7 Pt 3.21-3.51, 8 Si 3.22-3.24
Pt (0.5000, 0.0000, 0.8832)  5 Si 2.36-2.43
Pt (0.0000, 0.0000, 0.5000)  4 Si 2.52
Pt (0.0000, 0.5000, 0.1168)  5 Si 2.36-2.43
Ge (0.5000, 0.5000, 0.5000)  4 Si 2.52

No. 2
DFT (GGA-PBE) results for a relaxed structure of Sm2PaGe3Pt4.

Results
DOS at the Fermi energy = 9.98 states/eV per cell
magnetic moment = 0.00 μB/cell
calculated volume = 20.84 Å³/atom
DFT formation energy = -8.8 eV/f.u.

a = 4.3270 Å, b = 4.3270 Å, c = 11.1308 Å
α = 90.00°, β = 90.00°, γ = 90.00°
Closest atoms and distances in Å follow each position.
Positions (direct):
Pt (0.5000, 0.0000, 0.6559)  1 Ge 2.46
Pt (0.0000, 0.5000, 0.3441)  1 Ge 2.46
Pt (0.5000, 0.5000, 0.0000)  4 Ge 2.56
Pt (0.0000, 0.0000, 0.0000)  4 Ge 2.56
Ge (0.0000, 0.0000, 0.5000)  4 Pt 2.77, 4 Pa 3.06
Ge (0.0000, 0.5000, 0.1230)  5 Pt 2.46-2.56
Ge (0.5000, 0.0000, 0.8770)  5 Pt 2.46-2.56
Sm (0.5000, 0.0000, 0.2174)  4 Ge 3.24, 8 Pt 3.25-3.37
Sm (0.0000, 0.5000, 0.7826)  4 Ge 3.24, 8 Pt 3.25-3.37
Pa (0.5000, 0.5000, 0.5000)  4 Pt 2.77, 4 Ge 3.06

No. 3
DFT (GGA-PBE) results for a relaxed structure of PaSnGePt.

Results
DOS at the Fermi energy = 5.30 states/eV per cell
magnetic moment = 0.86 μB/cell
calculated volume = 21.15 Å³/atom
DFT formation energy = -1.7 eV/f.u.

a = 4.9276 Å, b = 4.9276 Å, c = 4.9276 Å
α = 60.00°, β = 60.00°, γ = 60.00°
Closest atoms and distances in Å follow each position.
Positions (direct):
Sn (0.5000, 0.5000, 0.5000)  4 Ge 3.02, 4 Pt 3.02
Ge (0.2500, 0.2500, 0.2500)  4 Pa 3.02, 4 Sn 3.02
Pt (0.7500, 0.7500, 0.7500)  4 Sn 3.02, 4 Pa 3.02
Pa (0.0000, 0.0000, 0.0000)  4 Pt 3.02, 4 Ge 3.02

No. 4
DFT (GGA-PBE) results for a relaxed structure of SrPaGe2Pt2.

Results
DOS at the Fermi energy = 4.99 states/eV per cell
magnetic moment = 0.00 μB/cell
calculated volume = 22.37 Å³/atom
DFT formation energy = -5.3 eV/f.u.

a = 4.4166 Å, b = 4.4166 Å, c = 7.9464 Å
α = 90.00°, β = 90.00°, γ = 120.00°
Closest atoms and distances in Å follow each position.
Positions (direct):
Sr (0.0000, 0.0000, 0.0000)  6 Ge 3.38, 6 Pt 3.44
Pt (0.3333, 0.6667, 0.2910)  3 Ge 2.55
Pt (0.6667, 0.3333, 0.7090)  3 Ge 2.55
Ge (0.3333, 0.6667, 0.7207)  3 Pt 2.55
Ge (0.6667, 0.3333, 0.2793)  3 Pt 2.55
Pa (0.0000, 0.0000, 0.5000)  6 Pt 3.04, 6 Ge 3.09

No. 5
DFT (GGA-PBE) results for a relaxed structure of Tb2PaGe3Pt4.

Results
DOS at the Fermi energy = 10.33 states/eV per cell
magnetic moment = 0.00 μB/cell
calculated volume = 20.58 Å³/atom
DFT formation energy = -8.6 eV/f.u.

a = 4.2920 Å, b = 4.2920 Å, c = 11.1707 Å
α = 90.00°, β = 90.00°, γ = 90.00°
Closest atoms and distances in Å follow each position.
Positions (direct):
Ge (0.0000, 0.5000, 0.1247)  5 Pt 2.44-2.56
Ge (0.0000, 0.0000, 0.5000)  4 Pt 2.77, 4 Pa 3.03
Ge (0.5000, 0.0000, 0.8753)  5 Pt 2.44-2.56
Pa (0.5000, 0.5000, 0.5000)  4 Pt 2.77, 4 Ge 3.03
Pt (0.0000, 0.5000, 0.3434)  1 Ge 2.44
Pt (0.0000, 0.0000, 0.0000)  4 Ge 2.56
Pt (0.5000, 0.5000, 0.0000)  4 Ge 2.56
Pt (0.5000, 0.0000, 0.6566)  1 Ge 2.44
Tb (0.5000, 0.0000, 0.2143)  4 Ge 3.20, 8 Pt 3.21-3.36
Tb (0.0000, 0.5000, 0.7857)  4 Ge 3.20, 8 Pt 3.21-3.36

No. 6
DFT (GGA-PBE) results for a relaxed structure of Th2PaGe4Pt3.

Results
DOS at the Fermi energy = 8.39 states/eV per cell
magnetic moment = 0.00 μB/cell
calculated volume = 21.24 Å³/atom
DFT formation energy = -7.3 eV/f.u.

a = 4.3352 Å, b = 4.3352 Å, c = 11.3034 Å
α = 90.00°, β = 90.00°, γ = 90.00°
Closest atoms and distances in Å follow each position.
Positions (direct):
Ge (0.0000, 0.0000, 0.0000)  4 Pt 2.53
Ge (0.5000, 0.5000, 0.0000)  4 Pt 2.53
Ge (0.5000, 0.0000, 0.6658)  1 Pt 2.48
Ge (0.0000, 0.5000, 0.3342)  1 Pt 2.48
Pa (0.5000, 0.5000, 0.5000)  4 Ge 2.87, 4 Pt 3.07
Th (0.0000, 0.5000, 0.7726)  8 Ge 3.29-3.36, 4 Pt 3.32
Th (0.5000, 0.0000, 0.2274)  8 Ge 3.29-3.36, 4 Pt 3.32
Pt (0.0000, 0.5000, 0.1150)  5 Ge 2.48-2.53
Pt (0.5000, 0.0000, 0.8850)  5 Ge 2.48-2.53
Pt (0.0000, 0.0000, 0.5000)  4 Ge 2.87, 4 Pa 3.07

No. 7
DFT (GGA-PBE) results for a relaxed structure of Th2PaGe3Pt4.

Results
DOS at the Fermi energy = 7.58 states/eV per cell
magnetic moment = 0.00 μB/cell
calculated volume = 20.97 Å³/atom
DFT formation energy = -8.7 eV/f.u.

a = 4.3622 Å, b = 4.3622 Å, c = 11.0194 Å
α = 90.00°, β = 90.00°, γ = 90.00°
Closest atoms and distances in Å follow each position.
Positions (direct):
Th (0.0000, 0.5000, 0.7782)  8 Pt 3.28-3.36, 4 Ge 3.28
Th (0.5000, 0.0000, 0.2218)  8 Pt 3.28-3.36, 4 Ge 3.28
Ge (0.0000, 0.0000, 0.5000)  4 Pt 2.78, 4 Pa 3.08
Ge (0.5000, 0.0000, 0.8785)  5 Pt 2.44-2.56
Ge (0.0000, 0.5000, 0.1215)  5 Pt 2.44-2.56
Pa (0.5000, 0.5000, 0.5000)  4 Pt 2.78, 4 Ge 3.08
Pt (0.0000, 0.5000, 0.3433)  1 Ge 2.44
Pt (0.0000, 0.0000, 0.0000)  4 Ge 2.56
Pt (0.5000, 0.0000, 0.6567)  1 Ge 2.44
Pt (0.5000, 0.5000, 0.0000)  4 Ge 2.56

No. 8
DFT (GGA-PBE) results for a relaxed structure of ThPa2Ge2Pt2.

Results
DOS at the Fermi energy = 8.48 states/eV per cell
magnetic moment = 0.00 μB/cell
calculated volume = 21.39 Å³/atom
DFT formation energy = -4.9 eV/f.u.

a = 4.3305 Å, b = 4.3305 Å, c = 9.5506 Å
α = 76.90°, β = 76.90°, γ = 60.00°
Closest atoms and distances in Å follow each position.
Positions (direct):
Pa (0.1402, 0.1402, 0.5793)  3 Pa 2.90, 4 Ge 3.06-3.23, 3 Pt 3.17
Pa (0.8598, 0.8598, 0.4207)  3 Pa 2.90, 4 Ge 3.06-3.23, 3 Pt 3.17
Ge (0.2570, 0.2570, 0.2290)  3 Pt 2.51
Ge (0.7430, 0.7430, 0.7710)  3 Pt 2.51
Th (0.0000, 0.0000, 0.0000)  6 Pt 3.16, 6 Ge 3.27
Pt (0.4032, 0.4032, 0.7903)  3 Ge 2.51
Pt (0.5968, 0.5968, 0.2097)  3 Ge 2.51

No. 9
DFT (GGA-PBE) results for a relaxed structure of Pa2TiGe4Pt3.

Results
DOS at the Fermi energy = 9.80 states/eV per cell
magnetic moment = 0.26 μB/cell
calculated volume = 18.80 Å³/atom
DFT formation energy = -7.0 eV/f.u.

a = 4.0910 Å, b = 4.0910 Å, c = 11.2354 Å
α = 90.00°, β = 90.00°, γ = 90.00°
Closest atoms and distances in Å follow each position.
Positions (direct):
Ge (0.5000, 0.5000, 0.0000)  4 Pt 2.59, 4 Ge 2.89
Ge (0.0000, 0.5000, 0.3596)  3 Pt 2.45-2.58, 2 Ti 2.58
Ge (0.5000, 0.0000, 0.6404)  3 Pt 2.45-2.58, 2 Ti 2.58
Ge (0.0000, 0.0000, 0.0000)  4 Pt 2.59, 4 Ge 2.89
Pt (0.5000, 0.0000, 0.8586)  5 Ge 2.45-2.59
Pt (0.0000, 0.0000, 0.5000)  4 Ge 2.58, 4 Ti 2.89
Pt (0.0000, 0.5000, 0.1414)  5 Ge 2.45-2.59
Ti (0.5000, 0.5000, 0.5000)  4 Ge 2.58, 4 Pt 2.89
Pa (0.5000, 0.0000, 0.2574)  4 Ge 3.11, 6 Pt 3.17-3.41, 2 Ti 3.41
Pa (0.0000, 0.5000, 0.7426)  4 Ge 3.11, 6 Pt 3.17-3.41, 2 Ti 3.41

No. 10
DFT (GGA-PBE) results for a relaxed structure of Pa2TiGe3Pt4.

Results
DOS at the Fermi energy = 6.95 states/eV per cell
magnetic moment = 0.70 μB/cell
calculated volume = 18.81 Å³/atom
DFT formation energy = -7.7 eV/f.u.

a = 4.2217 Å, b = 4.2217 Å, c = 10.5538 Å
α = 90.00°, β = 90.00°, γ = 90.00°
Closest atoms and distances in Å follow each position.
Positions (direct):
Pt (0.5000, 0.5000, 0.0000)  4 Ge 2.53
Pt (0.0000, 0.5000, 0.3627)  3 Ge 2.43-2.56, 2 Ti 2.56
Pt (0.5000, 0.0000, 0.6373)  3 Ge 2.43-2.56, 2 Ti 2.56
Pt (0.0000, 0.0000, 0.0000)  4 Ge 2.53
Ge (0.0000, 0.5000, 0.1327)  5 Pt 2.43-2.53
Ge (0.5000, 0.0000, 0.8673)  5 Pt 2.43-2.53
Ge (0.0000, 0.0000, 0.5000)  4 Pt 2.56
Ti (0.5000, 0.5000, 0.5000)  4 Pt 2.56
Pa (0.5000, 0.0000, 0.2404)  6 Ge 3.19-3.46, 8 Pt 3.25-3.30, 2 Ti 3.46
Pa (0.0000, 0.5000, 0.7595)  6 Ge 3.19-3.46, 8 Pt 3.25-3.30, 2 Ti 3.46

No. 11
DFT (GGA-PBE) results for a relaxed structure of TmPaGePt.

Results
DOS at the Fermi energy = 7.13 states/eV per cell
magnetic moment = 1.20 μB/cell
calculated volume = 21.95 Å³/atom
DFT formation energy = -2.5 eV/f.u.

a = 4.9888 Å, b = 4.9888 Å, c = 4.9888 Å
α = 60.00°, β = 60.00°, γ = 60.00°
Closest atoms and distances in Å follow each position.
Positions (direct):
Ge (0.7500, 0.7500, 0.7500)  4 Pa 3.05, 4 Tm 3.05
Pt (0.2500, 0.2500, 0.2500)  4 Pa 3.05, 4 Tm 3.05
Pa (0.0000, 0.0000, 0.0000)  4 Ge 3.05, 4 Pt 3.05
Tm (0.5000, 0.5000, 0.5000)  4 Pt 3.05, 4 Ge 3.05

Please write out number 8 again, unchanged.
DFT (GGA-PBE) results for a relaxed structure of ThPa2Ge2Pt2.

Results
DOS at the Fermi energy = 8.48 states/eV per cell
magnetic moment = 0.00 μB/cell
calculated volume = 21.39 Å³/atom
DFT formation energy = -4.9 eV/f.u.

a = 4.3305 Å, b = 4.3305 Å, c = 9.5506 Å
α = 76.90°, β = 76.90°, γ = 60.00°
Closest atoms and distances in Å follow each position.
Positions (direct):
Pa (0.1402, 0.1402, 0.5793)  3 Pa 2.90, 4 Ge 3.06-3.23, 3 Pt 3.17
Pa (0.8598, 0.8598, 0.4207)  3 Pa 2.90, 4 Ge 3.06-3.23, 3 Pt 3.17
Ge (0.2570, 0.2570, 0.2290)  3 Pt 2.51
Ge (0.7430, 0.7430, 0.7710)  3 Pt 2.51
Th (0.0000, 0.0000, 0.0000)  6 Pt 3.16, 6 Ge 3.27
Pt (0.4032, 0.4032, 0.7903)  3 Ge 2.51
Pt (0.5968, 0.5968, 0.2097)  3 Ge 2.51

Copy entry 4 word for word.
DFT (GGA-PBE) results for a relaxed structure of SrPaGe2Pt2.

Results
DOS at the Fermi energy = 4.99 states/eV per cell
magnetic moment = 0.00 μB/cell
calculated volume = 22.37 Å³/atom
DFT formation energy = -5.3 eV/f.u.

a = 4.4166 Å, b = 4.4166 Å, c = 7.9464 Å
α = 90.00°, β = 90.00°, γ = 120.00°
Closest atoms and distances in Å follow each position.
Positions (direct):
Sr (0.0000, 0.0000, 0.0000)  6 Ge 3.38, 6 Pt 3.44
Pt (0.3333, 0.6667, 0.2910)  3 Ge 2.55
Pt (0.6667, 0.3333, 0.7090)  3 Ge 2.55
Ge (0.3333, 0.6667, 0.7207)  3 Pt 2.55
Ge (0.6667, 0.3333, 0.2793)  3 Pt 2.55
Pa (0.0000, 0.0000, 0.5000)  6 Pt 3.04, 6 Ge 3.09

Number 5 is which compound?
Tb2PaGe3Pt4

magnetic moment of number 7 (Th2PaGe3Pt4)?
0.00 μB/cell